VASP calculation (PBEsol) on crystalline Rb3YP2O8 at its relaxed geometry.

a = 5.6953 Å, b = 5.6953 Å, c = 7.9870 Å
α = 90.00°, β = 90.00°, γ = 120.00°
With the nearest neighbours (Å) after each atom.
Sites, in units of the cell vectors:
Rb1 0.6667 0.3333 0.2560  7 O 2.69-2.93
Rb2 0.3333 0.6667 0.7440  7 O 2.69-2.93
Rb3 0.0000 0.0000 0.0000  12 O 3.27-3.35
Y1 0.0000 0.0000 0.5000  6 O 2.23
P1 0.6667 0.3333 0.7291  4 O 1.52-1.56
P2 0.3333 0.6667 0.2709  4 O 1.52-1.56
O1 0.6667 0.3333 0.9194  1 P 1.52
O2 0.3333 0.6667 0.0806  1 P 1.52
O3 0.8151 0.6301 0.6605  1 P 1.56
O4 0.1849 0.3699 0.3395  1 P 1.56
O5 0.8151 0.1849 0.6605  1 P 1.56
O6 0.1849 0.8151 0.3395  1 P 1.56
O7 0.3699 0.1849 0.6605  1 P 1.56
O8 0.6301 0.8151 0.3395  1 P 1.56

total magnetic moment	0.0	μB/cell
volume	16.0	Å³/atom
ΔE_f (raw)	-2.5983	eV/atom
DOS(E_F)	0.00	states/eV per cell